First-principles (PBE) data for a relaxed TbBi2 crystal, as listed in OQMD.

Lattice parameters (Å, degrees): 6.465 6.465 6.465 60.00 60.00 60.00
Positions (direct):
Bi (0.625, 0.625, 0.125)
Bi (0.625, 0.125, 0.625)
Bi (0.125, 0.625, 0.625)
Bi (0.625, 0.625, 0.625)
Tb (0.000, 0.000, 0.000)
Tb (0.250, 0.250, 0.250)

## Properties
Space-group type = Fd-3m, No. 227

First-principles (PBE) data for a relaxed TbBi crystal, as listed in OQMD.

Lattice parameters (Å, degrees): 4.480 4.480 4.480 60.00 60.00 60.00
Positions (direct):
Bi (0.000, 0.000, 0.000)
Tb (0.500, 0.500, 0.500)

## Properties
Space-group type = Fm-3m, No. 225

First-principles (PBE) data for a relaxed TbBi2 crystal, as listed in OQMD.

Lattice parameters (Å, degrees): 9.702 9.702 9.702 60.00 60.00 60.00
Positions (direct):
Bi (0.375, 0.375, 0.375)
Bi (0.875, 0.375, 0.375)
Bi (0.375, 0.875, 0.375)
Bi (0.375, 0.375, 0.875)
Tb (0.250, 0.250, 0.250)
Tb (0.500, 0.500, 0.500)

## Properties
Space-group type = Fd-3m, No. 227

First-principles (PBE) data for a relaxed TbBi2 crystal, as listed in OQMD.

Lattice parameters (Å, degrees): 3.548 3.548 7.746 103.24 103.24 90.00
Positions (direct):
Bi (0.651, 0.651, 0.302)
Bi (0.349, 0.349, 0.698)
Tb (0.000, 0.000, 0.000)

## Properties
Space-group type = I4/mmm, No. 139

First-principles (PBE) data for a relaxed TbBi crystal, as listed in OQMD.

Lattice parameters (Å, degrees): 4.342 4.342 3.996 90.00 90.00 120.00
Positions (direct):
Bi (0.667, 0.333, 0.750)
Tb (0.333, 0.667, 0.250)

## Properties
Space-group type = P-6m2, No. 187

First-principles (PBE) data for a relaxed TbBi crystal, as listed in OQMD.

Lattice parameters (Å, degrees): 4.574 4.574 6.959 90.00 90.00 120.00
Positions (direct):
Bi (0.667, 0.333, 0.250)
Bi (0.333, 0.667, 0.750)
Tb (0.000, 0.000, 0.000)
Tb (0.000, 0.000, 0.500)

## Properties
Space-group type = P6_3/mmc, No. 194

Asked for electronic total energy across the records above, the calculation gives -25.828, -10.469, -21.319, -13.807, -10.041, -20.386 eV per cell in order.